Record 1
# BeAl2TlBi | the Alexandria database | SCAN | single point on PBEsol structure
data_BeAl2TlBi
_cell_length_a 5.1283
_cell_length_b 5.1283
_cell_length_c 5.8490
_cell_angle_alpha 90.00
_cell_angle_beta 90.00
_cell_angle_gamma 90.00
_symmetry_space_group_name_H-M 'P 4/m m m'
_symmetry_Int_Tables_number 123
_symmetry_space_group_name_Hall '-P 4 2'
loop_
_atom_site_label
_atom_site_fract_x
_atom_site_fract_y
_atom_site_fract_z
Be1 0.0000 0.0000 0.0000
Al1 0.0000 0.5000 0.5000
Tl1 0.5000 0.5000 0.5000
Bi1 0.5000 0.5000 0.0000
# Magnetic moment = 0.000 μB per cell
# Total DFT energy (no corrections) = -32.823 eV per atom
# Crystal system = tetragonal
# ρ = 5.1 g/cm³



Record 2
# BeAlBr2 | the Alexandria database | SCAN | single point on PBEsol structure
data_BeAlBr2
_cell_length_a 11.2654
_cell_length_b 3.2891
_cell_length_c 5.4288
_cell_angle_alpha 90.00
_cell_angle_beta 118.66
_cell_angle_gamma 90.00
_symmetry_space_group_name_H-M 'C 1 2/m 1'
_symmetry_Int_Tables_number 12
loop_
_symmetry_equiv_pos_as_xyz
'x,y,z'
'-x,-y,-z'
'-x,y,-z'
'x,-y,z'
'x+1/2,y+1/2,z'
'-x+1/2,-y+1/2,-z'
'-x+1/2,y+1/2,-z'
'x+1/2,-y+1/2,z'
loop_
_atom_site_label
_atom_site_fract_x
_atom_site_fract_y
_atom_site_fract_z
Be1 0.0000 0.0000 0.0000
Al1 0.0000 0.5000 0.5000
Br1 0.1619 0.5000 0.1621
# Magnetic moment = 0.417 μB per cell
# Raw formation energy = -38 meV per atom
# Crystal system = monoclinic
# ρ = 3.7 g/cm³



Record 3
# BeAl2Br | the Alexandria database | SCAN | single point on PBEsol structure
data_BeAl2Br
_cell_length_a 3.6355
_cell_length_b 4.5629
_cell_length_c 4.6204
_cell_angle_alpha 90.00
_cell_angle_beta 102.41
_cell_angle_gamma 90.00
_symmetry_space_group_name_H-M 'P 1 2/m 1'
_symmetry_Int_Tables_number 10
loop_
_symmetry_equiv_pos_as_xyz
'x,y,z'
'-x,-y,-z'
'-x,y,-z'
'x,-y,z'
loop_
_atom_site_label
_atom_site_fract_x
_atom_site_fract_y
_atom_site_fract_z
Be1 0.0000 0.0000 0.0000
Al1 0.1702 0.5000 0.7825
Br1 0.5000 0.0000 0.5000
# Magnetic moment = 0.000 μB per cell
# Raw formation energy = 457 meV per atom
# Crystal system = monoclinic
# ρ = 3.2 g/cm³



Record 4
# BeAlBr3 | the Alexandria database | SCAN | single point on PBEsol structure
data_BeAlBr3
_cell_length_a 5.0270
_cell_length_b 5.0270
_cell_length_c 5.0270
_cell_angle_alpha 90.00
_cell_angle_beta 90.00
_cell_angle_gamma 90.00
_symmetry_space_group_name_H-M 'P m -3 m'
_symmetry_Int_Tables_number 221
_symmetry_space_group_name_Hall '-P 4 2 3'
loop_
_atom_site_label
_atom_site_fract_x
_atom_site_fract_y
_atom_site_fract_z
Be1 0.0000 0.0000 0.0000
Al1 0.5000 0.5000 0.5000
Br1 0.0000 0.5000 0.5000
# Magnetic moment = 0.196 μB per cell
# Raw formation energy = -12 meV per atom
# Crystal system = cubic
# ρ = 3.6 g/cm³



Record 5
# BeAlBr | the Alexandria database | SCAN | single point on PBEsol structure
data_BeAlBr
_cell_length_a 3.2060
_cell_length_b 5.6708
_cell_length_c 14.2145
_cell_angle_alpha 90.00
_cell_angle_beta 90.00
_cell_angle_gamma 90.00
_symmetry_space_group_name_H-M 'F m m 2'
_symmetry_Int_Tables_number 42
_symmetry_space_group_name_Hall 'F 2 -2'
loop_
_atom_site_label
_atom_site_fract_x
_atom_site_fract_y
_atom_site_fract_z
Be1 0.0000 0.0000 0.0000
Al1 0.0000 0.0000 0.3605
Br1 0.0000 0.0000 0.6036
# Magnetic moment = 0.000 μB per cell
# Raw formation energy = 277 meV per atom
# Crystal system = orthorhombic
# ρ = 3.0 g/cm³



Record 6
# Be3AlBr | the Alexandria database | SCAN | single point on PBEsol structure
data_Be3AlBr
_cell_length_a 4.3888
_cell_length_b 4.3888
_cell_length_c 4.3888
_cell_angle_alpha 90.00
_cell_angle_beta 90.00
_cell_angle_gamma 90.00
_symmetry_space_group_name_H-M 'P m -3 m'
_symmetry_Int_Tables_number 221
_symmetry_space_group_name_Hall '-P 4 2 3'
loop_
_atom_site_label
_atom_site_fract_x
_atom_site_fract_y
_atom_site_fract_z
Be1 0.0000 0.0000 0.5000
Al1 0.5000 0.5000 0.5000
Br1 0.0000 0.0000 0.0000
# Magnetic moment = 0.038 μB per cell
# Raw formation energy = 1482 meV per atom
# Crystal system = cubic
# ρ = 2.6 g/cm³



Record 7
# BeAl3Br | the Alexandria database | SCAN | single point on PBEsol structure
data_BeAl3Br
_cell_length_a 5.1384
_cell_length_b 5.1384
_cell_length_c 5.1384
_cell_angle_alpha 90.00
_cell_angle_beta 90.00
_cell_angle_gamma 90.00
_symmetry_space_group_name_H-M 'P m -3 m'
_symmetry_Int_Tables_number 221
_symmetry_space_group_name_Hall '-P 4 2 3'
loop_
_atom_site_label
_atom_site_fract_x
_atom_site_fract_y
_atom_site_fract_z
Be1 0.0000 0.0000 0.0000
Al1 0.0000 0.5000 0.5000
Br1 0.5000 0.5000 0.5000
# Magnetic moment = 0.001 μB per cell
# Raw formation energy = 1454 meV per atom
# Crystal system = cubic
# ρ = 2.1 g/cm³



Record 8
# Be2AlBr | the Alexandria database | SCAN | single point on PBEsol structure
data_Be2AlBr
_cell_length_a 6.9788
_cell_length_b 4.0560
_cell_length_c 5.8171
_cell_angle_alpha 90.00
_cell_angle_beta 119.70
_cell_angle_gamma 90.00
_symmetry_space_group_name_H-M 'C 1 2/m 1'
_symmetry_Int_Tables_number 12
loop_
_symmetry_equiv_pos_as_xyz
'x,y,z'
'-x,-y,-z'
'-x,y,-z'
'x,-y,z'
'x+1/2,y+1/2,z'
'-x+1/2,-y+1/2,-z'
'-x+1/2,y+1/2,-z'
'x+1/2,-y+1/2,z'
loop_
_atom_site_label
_atom_site_fract_x
_atom_site_fract_y
_atom_site_fract_z
Be1 0.1866 0.0000 0.0425
Al1 0.0000 0.5000 0.0000
Br1 0.0000 0.5000 0.5000
# Magnetic moment = 0.000 μB per cell
# Raw formation energy = 41 meV per atom
# Crystal system = monoclinic
# ρ = 2.9 g/cm³